(1)
Material: AcTmAgGe
Method: DFT, PBE-GGA
State: relaxed

The density of states at the Fermi level is 3.80 states/eV/f.u. As for the crystal system: cubic. The calculation puts the calculated density at 9.03 g cm⁻³. The value obtained for the calculated total energy is -4.4236 eV/atom. For the total magnetization, the calculation gives 0.0002 μB/atom.

a = 7.5137 Å, b = 7.5137 Å, c = 7.5137 Å
α = 90.00°, β = 90.00°, γ = 90.00°
Closest atoms and distances in Å follow each position.
Atoms (fractional coordinates):
Ac: 0.0000 0.0000 0.0000  4 Ge 3.25, 4 Ag 3.25
Ac: 0.0000 0.5000 0.5000  4 Ge 3.25, 4 Ag 3.25
Ac: 0.5000 0.0000 0.5000  4 Ge 3.25, 4 Ag 3.25
Ac: 0.5000 0.5000 0.0000  4 Ge 3.25, 4 Ag 3.25
Tm: 0.0000 0.0000 0.5000  4 Ge 3.25, 4 Ag 3.25
Tm: 0.0000 0.5000 0.0000  4 Ge 3.25, 4 Ag 3.25
Tm: 0.5000 0.0000 0.0000  4 Ge 3.25, 4 Ag 3.25
Tm: 0.5000 0.5000 0.5000  4 Ge 3.25, 4 Ag 3.25
Ag: 0.2500 0.2500 0.2500  4 Ac 3.25, 4 Tm 3.25
Ag: 0.2500 0.7500 0.7500  4 Ac 3.25, 4 Tm 3.25
Ag: 0.7500 0.2500 0.7500  4 Ac 3.25, 4 Tm 3.25
Ag: 0.7500 0.7500 0.2500  4 Ac 3.25, 4 Tm 3.25
Ge: 0.2500 0.2500 0.7500  4 Ac 3.25, 4 Tm 3.25
Ge: 0.2500 0.7500 0.2500  4 Ac 3.25, 4 Tm 3.25
Ge: 0.7500 0.2500 0.2500  4 Ac 3.25, 4 Tm 3.25
Ge: 0.7500 0.7500 0.7500  4 Ac 3.25, 4 Tm 3.25

(2)
Material: SmDyTlAu
Method: DFT, PBE-GGA
State: relaxed

The density of states at the Fermi level is 3.86 states/eV/f.u. As for the crystal system: cubic. The calculation puts the calculated density at 11.30 g cm⁻³. The calculation puts the energy relative to the lowest polymorph listed for this composition at 0.053 eV per atom. The value obtained for the calculated total energy is -4.2890 eV/atom. For the total magnetization, the calculation gives 0.0009 μB/atom.

a = 7.4876 Å, b = 7.4876 Å, c = 7.4876 Å
α = 90.00°, β = 90.00°, γ = 90.00°
Closest atoms and distances in Å follow each position.
Atoms (fractional coordinates):
Sm: 0.0000 0.0000 0.0000  4 Au 3.24, 4 Tl 3.24
Sm: 0.0000 0.5000 0.5000  4 Au 3.24, 4 Tl 3.24
Sm: 0.5000 0.0000 0.5000  4 Au 3.24, 4 Tl 3.24
Sm: 0.5000 0.5000 0.0000  4 Au 3.24, 4 Tl 3.24
Dy: 0.0000 0.0000 0.5000  4 Tl 3.24, 4 Au 3.24
Dy: 0.0000 0.5000 0.0000  4 Tl 3.24, 4 Au 3.24
Dy: 0.5000 0.0000 0.0000  4 Tl 3.24, 4 Au 3.24
Dy: 0.5000 0.5000 0.5000  4 Tl 3.24, 4 Au 3.24
Tl: 0.2500 0.2500 0.2500  4 Sm 3.24, 4 Dy 3.24
Tl: 0.2500 0.7500 0.7500  4 Sm 3.24, 4 Dy 3.24
Tl: 0.7500 0.2500 0.7500  4 Sm 3.24, 4 Dy 3.24
Tl: 0.7500 0.7500 0.2500  4 Sm 3.24, 4 Dy 3.24
Au: 0.2500 0.2500 0.7500  4 Dy 3.24, 4 Sm 3.24
Au: 0.2500 0.7500 0.2500  4 Dy 3.24, 4 Sm 3.24
Au: 0.7500 0.2500 0.2500  4 Dy 3.24, 4 Sm 3.24
Au: 0.7500 0.7500 0.7500  4 Dy 3.24, 4 Sm 3.24

(3)
Material: BaHg2Ru
Method: DFT, PBE-GGA
State: relaxed

The density of states at the Fermi level is 4.38 states/eV/f.u. As for the crystal system: monoclinic. The calculation puts the calculated density at 9.31 g cm⁻³. The value obtained for the calculated total energy is -2.8241 eV/atom. For the total magnetization, the calculation gives 0.0445 μB/atom.

a = 8.2658 Å, b = 4.7800 Å, c = 6.3999 Å
α = 90.00°, β = 115.51°, γ = 90.00°
Closest atoms and distances in Å follow each position.
Atoms (fractional coordinates):
Ba: 0.0000 0.0000 0.0000  1 Ru 3.23, 7 Hg 3.46-3.60
Ba: 0.5000 0.5000 0.0000  1 Ru 3.23, 7 Hg 3.46-3.60
Hg: 0.2005 0.0000 0.5997  3 Ru 2.90-2.91, 3 Hg 3.02
Hg: 0.4622 0.0000 0.3850  3 Ru 2.78, 3 Hg 3.02
Hg: 0.7005 0.5000 0.5997  3 Ru 2.90-2.91, 3 Hg 3.02
Hg: 0.9622 0.5000 0.3850  3 Ru 2.78, 3 Hg 3.02
Ru: 0.3143 0.5000 0.4407  6 Hg 2.78-2.91
Ru: 0.8143 0.0000 0.4407  6 Hg 2.78-2.91

(4)
Material: Ba2YBiAs
Method: DFT, PBE-GGA
State: relaxed

The density of states at the Fermi level is 4.91 states/eV/f.u. As for the crystal system: tetragonal. The calculation puts the calculated density at 5.06 g cm⁻³. The value obtained for the calculated total energy is -4.4450 eV/atom. For the total magnetization, the calculation gives 0.1105 μB/atom.

a = 6.2356 Å, b = 6.2356 Å, c = 5.4648 Å
α = 90.00°, β = 90.00°, γ = 90.00°
Closest atoms and distances in Å follow each position.
Atoms (fractional coordinates):
Ba: 0.0000 0.5000 0.0000  2 As 3.12
Ba: 0.5000 0.0000 0.0000  2 As 3.12
Y: 0.0000 0.0000 0.5000  2 As 2.73
Bi: 0.5000 0.5000 0.5000  8 Ba 4.15, 4 Y 4.41
As: 0.0000 0.0000 0.0000  2 Y 2.73

(5)
Material: La2AlHgRu
Method: DFT, PBE-GGA
State: relaxed

The density of states at the Fermi level is 4.30 states/eV/f.u. As for the crystal system: tetragonal. The calculation puts the calculated density at 6.96 g cm⁻³. The value obtained for the calculated total energy is -5.0038 eV/atom. For the total magnetization, the calculation gives 0.0000 μB/atom.

a = 5.4518 Å, b = 5.4518 Å, c = 4.8704 Å
α = 90.00°, β = 90.00°, γ = 90.00°
Closest atoms and distances in Å follow each position.
Atoms (fractional coordinates):
La: 0.0000 0.5000 0.0000  2 Ru 2.73
La: 0.5000 0.0000 0.0000  2 Ru 2.73
Al: 0.0000 0.0000 0.5000  2 Ru 2.44
Hg: 0.5000 0.5000 0.5000  8 La 3.66, 4 Al 3.85
Ru: 0.0000 0.0000 0.0000  2 Al 2.44, 4 La 2.73

(6)
Material: YAlCu3
Method: DFT, PBE-GGA
State: relaxed

The density of states at the Fermi level is 2.74 states/eV/f.u. As for the crystal system: cubic. The calculation puts the calculated density at 5.50 g cm⁻³. The calculation puts the energy relative to the lowest polymorph listed for this composition at 0.316 eV per atom. The value obtained for the calculated total energy is -4.4092 eV/atom. For the total magnetization, the calculation gives 0.0000 μB/atom.

a = 4.5234 Å, b = 4.5234 Å, c = 4.5234 Å
α = 90.00°, β = 90.00°, γ = 90.00°
Closest atoms and distances in Å follow each position.
Atoms (fractional coordinates):
Y: 0.0000 0.0000 0.0000  12 Cu 3.20
Al: 0.5000 0.5000 0.5000  6 Cu 2.26
Cu: 0.0000 0.5000 0.5000  2 Al 2.26
Cu: 0.5000 0.0000 0.5000  2 Al 2.26
Cu: 0.5000 0.5000 0.0000  2 Al 2.26

(7)
Material: BeSeCl2
Method: DFT, PBE-GGA
State: relaxed

The density of states at the Fermi level is 2.27 states/eV/f.u. As for the crystal system: cubic. The calculation puts the calculated density at 3.40 g cm⁻³. The calculation puts the energy relative to the lowest polymorph listed for this composition at 1.359 eV per atom. The value obtained for the calculated total energy is -1.9635 eV/atom. For the total magnetization, the calculation gives 0.4577 μB/atom. The formation energy from raw total energies comes out at 763 meV/atom.

a = 6.7725 Å, b = 6.7725 Å, c = 6.7725 Å
α = 90.00°, β = 90.00°, γ = 90.00°
Closest atoms and distances in Å follow each position.
Atoms (fractional coordinates):
Be: 0.0000 0.0000 0.0000  8 Cl 2.93
Be: 0.0000 0.5000 0.5000  8 Cl 2.93
Be: 0.5000 0.0000 0.5000  8 Cl 2.93
Be: 0.5000 0.5000 0.0000  8 Cl 2.93
Se: 0.0000 0.0000 0.5000  8 Cl 2.93
Se: 0.0000 0.5000 0.0000  8 Cl 2.93
Se: 0.5000 0.0000 0.0000  8 Cl 2.93
Se: 0.5000 0.5000 0.5000  8 Cl 2.93
Cl: 0.2500 0.2500 0.2500  4 Se 2.93, 4 Be 2.93
Cl: 0.2500 0.2500 0.7500  4 Se 2.93, 4 Be 2.93
Cl: 0.2500 0.7500 0.2500  4 Se 2.93, 4 Be 2.93
Cl: 0.2500 0.7500 0.7500  4 Se 2.93, 4 Be 2.93
Cl: 0.7500 0.2500 0.2500  4 Se 2.93, 4 Be 2.93
Cl: 0.7500 0.2500 0.7500  4 Se 2.93, 4 Be 2.93
Cl: 0.7500 0.7500 0.2500  4 Se 2.93, 4 Be 2.93
Cl: 0.7500 0.7500 0.7500  4 Se 2.93, 4 Be 2.93

(8)
Material: Nd12Y5Th2
Method: DFT, PBE-GGA
State: relaxed

The density of states at the Fermi level is 29.20 states/eV/f.u. As for the crystal system: monoclinic. The calculation puts the calculated density at 6.60 g cm⁻³. The calculation puts the energy relative to the lowest polymorph listed for this composition at 0.000 eV per atom. The value obtained for the calculated total energy is -5.3443 eV/atom. For the total magnetization, the calculation gives 0.0000 μB/atom.

a = 11.8373 Å, b = 11.8373 Å, c = 8.8119 Å
α = 109.39°, β = 109.39°, γ = 35.00°
Closest atoms and distances in Å follow each position.
Atoms (fractional coordinates):
Nd: 0.0464 0.0464 0.2005  5 Nd 3.42-3.73, 1 Y 3.46, 2 Th 3.62
Nd: 0.0461 0.5521 0.7066  7 Nd 3.47-3.84, 4 Y 3.56-3.72
Nd: 0.1380 0.6491 0.1124  4 Y 3.42-3.53, 1 Th 3.42, 5 Nd 3.47-3.76
Nd: 0.3509 0.8620 0.8876  4 Y 3.42-3.53, 1 Th 3.42, 5 Nd 3.47-3.76
Nd: 0.3620 0.3620 0.4496  2 Th 3.48, 6 Nd 3.55-3.84, 3 Y 3.58-3.82
Nd: 0.4479 0.9539 0.2934  7 Nd 3.47-3.84, 4 Y 3.56-3.72
Nd: 0.5521 0.0461 0.7066  7 Nd 3.47-3.84, 4 Y 3.56-3.72
Nd: 0.6380 0.6380 0.5504  2 Th 3.48, 6 Nd 3.55-3.84, 3 Y 3.58-3.82
Nd: 0.6491 0.1380 0.1124  4 Y 3.42-3.53, 1 Th 3.42, 5 Nd 3.47-3.76
Nd: 0.8620 0.3509 0.8876  4 Y 3.42-3.53, 1 Th 3.42, 5 Nd 3.47-3.76
Nd: 0.9539 0.4479 0.2934  7 Nd 3.47-3.84, 4 Y 3.56-3.72
Nd: 0.9536 0.9536 0.7995  5 Nd 3.42-3.73, 1 Y 3.46, 2 Th 3.62
Y: 0.1492 0.1492 0.5975  9 Nd 3.46-3.72, 1 Y 3.55, 2 Th 3.63
Y: 0.2512 0.2512 0.0081  9 Nd 3.52-3.82, 3 Y 3.55-3.56
Y: 0.5000 0.5000 0.0000  4 Nd 3.42
Y: 0.7488 0.7488 0.9919  9 Nd 3.52-3.82, 3 Y 3.55-3.56
Y: 0.8508 0.8508 0.4025  9 Nd 3.46-3.72, 1 Y 3.55, 2 Th 3.63
Th: 0.2487 0.7513 0.5000  6 Nd 3.42-3.62, 2 Th 3.54-3.58, 2 Y 3.63
Th: 0.7513 0.2487 0.5000  6 Nd 3.42-3.62, 2 Th 3.54-3.58, 2 Y 3.63